w:
## FeReAg2 (PBE-GGA)

Data for FeReAg2 after structural relaxation.

Cell lengths 4.4072, 4.4072, 4.4072 Å; angles 60.00, 60.00, 60.00 degrees
Fractional positions:
Ag: 0.7500 0.7500 0.7500
Re: 0.5000 0.5000 0.5000
Fe: 0.0000 0.0000 0.0000
Ag: 0.2500 0.2500 0.2500

Fermi-level density of states (states/eV per atom): 1.48
Spin magnetization (μB/cell): 0.000

=====

x:
## FeReAg2 (PBE-GGA)

Data for FeReAg2 after structural relaxation.

Cell lengths 2.6617, 2.6617, 8.8062 Å; angles 90.00, 90.00, 90.00 degrees
Fractional positions:
Ag: 0.0000 0.0000 0.0105
Ag: 0.0000 0.0000 0.4895
Re: 0.5000 0.5000 0.7500
Fe: 0.5000 0.5000 0.2500

Fermi-level density of states (states/eV per atom): 0.93
Spin magnetization (μB/cell): 2.893

=====

y:
## FeReAg2 (PBE-GGA)

Data for FeReAg2 after structural relaxation.

Cell lengths 2.7380, 4.6510, 4.9336 Å; angles 90.00, 90.00, 90.00 degrees
Fractional positions:
Fe: 0.5000 0.0000 0.5000
Ag: 0.5000 0.5000 0.0000
Re: 0.0000 0.5000 0.5000
Ag: 0.0000 0.0000 0.0000

Fermi-level density of states (states/eV per atom): 1.02
Spin magnetization (μB/cell): 2.403

=====

Computed relative energies in units of kJ/mol of atoms: w 52.4; x 0.0; y 4.1

=====

w:
## FeReAg2 (PBE-GGA)

Data for FeReAg2 after structural relaxation.

Cell lengths 4.3857, 3.7705, 3.7705 Å; angles 90.00, 90.00, 90.00 degrees
Fractional positions:
Ag: 0.0000 0.5000 0.5000
Ag: 0.0000 0.0000 0.0000
Re: 0.5000 0.0000 0.5000
Fe: 0.5000 0.5000 0.0000

Fermi-level density of states (states/eV per atom): 1.35
Spin magnetization (μB/cell): 3.221

=====

x:
## FeReAg2 (PBE-GGA)

Data for FeReAg2 after structural relaxation.

Cell lengths 9.6281, 9.6281, 9.6281 Å; angles 16.48, 16.48, 16.48 degrees
Fractional positions:
Ag: 0.5024 0.5024 0.5024
Fe: 0.2500 0.2500 0.2500
Ag: 0.9976 0.9976 0.9976
Re: 0.7500 0.7500 0.7500

Fermi-level density of states (states/eV per atom): 0.85
Spin magnetization (μB/cell): 3.507

=====

y:
## FeReAg2 (PBE-GGA)

Data for FeReAg2 after structural relaxation.

Cell lengths 5.0382, 5.0382, 5.0382 Å; angles 135.54, 135.54, 64.70 degrees
Fractional positions:
Re: 0.7500 0.2500 0.5000
Fe: 0.2500 0.7500 0.5000
Ag: 0.5000 0.5000 0.0000
Ag: 0.0000 0.0000 0.0000

Fermi-level density of states (states/eV per atom): 1.28
Spin magnetization (μB/cell): 1.904

=====

Computed relative energies in units of kJ/mol of atoms: w 21.2; x 0.0; y 22.6